Entry 1:
This record from the Alexandria database describes a relaxed LiIn2Rh crystal. The functional is PBE-GGA.

Its energy above the lowest structure with this stoichiometry is 1.04 eV/f.u.

The space group is F-43m (No. 216) and the conventional cell measures 6.587, 6.587 and 6.587 Å, with angles of 90.00, 90.00 and 90.00 degrees. Symmetry generates all atoms from Li at (0.000, 0.000, 0.000), In at (0.000, 0.000, 0.500), In at (0.250, 0.250, 0.250) and Rh at (0.250, 0.250, 0.750).

---

Entry 2:
This record from the Alexandria database describes a relaxed MgReBr crystal. The functional is PBE-GGA.

Its energy above the lowest structure with this stoichiometry is 0.00 eV/f.u. The uncorrected formation energy comes out at -0.71 eV per formula unit.

The space group is C2/m (No. 12) and the conventional cell measures 6.443, 3.712 and 12.810 Å, with angles of 90.00, 99.12 and 90.00 degrees. Symmetry generates all atoms from Mg at (0.097, 0.000, 0.278), Re at (0.180, 0.000, 0.543) and Br at (0.110, 0.500, 0.847).

---

Entry 3:
This record from the Alexandria database describes a relaxed ReHg2Te crystal. The functional is PBE-GGA.

Its energy above the lowest structure with this stoichiometry is 0.69 eV/f.u. The uncorrected formation energy comes out at 2.31 eV per formula unit.

The space group is Cm (No. 8) and the conventional cell measures 9.289, 3.131 and 7.224 Å, with angles of 90.00, 110.60 and 90.00 degrees. Symmetry generates all atoms from Re at (0.000, 0.000, 0.000), Hg at (0.065, 0.500, 0.373), Hg at (0.368, 0.000, 0.630) and Te at (0.222, 0.500, 0.005).

---

Entry 4:
This record from the Alexandria database describes a relaxed CoHgTe2 crystal. The functional is PBE-GGA.

The uncorrected formation energy comes out at 2.11 eV per formula unit.

The space group is I-4m2 (No. 119) and the conventional cell measures 3.948, 3.948 and 16.125 Å, with angles of 90.00, 90.00 and 90.00 degrees. Symmetry generates all atoms from Co at (0.000, 0.000, 0.000), Hg at (0.000, 0.500, 0.750), Te at (0.000, 0.000, 0.500) and Te at (0.000, 0.500, 0.250).

---

Entry 5:
This record from the Alexandria database describes a relaxed K4Ag2Au crystal. The functional is PBE-GGA.

Its energy above the lowest structure with this stoichiometry is 0.33 eV/f.u.

The space group is I4/mmm (No. 139) and the conventional cell measures 6.423, 6.423 and 16.062 Å, with angles of 90.00, 90.00 and 90.00 degrees. Symmetry generates all atoms from K at (0.000, 0.000, 0.201), K at (0.000, 0.500, 0.000), Ag at (0.000, 0.000, 0.411) and Au at (0.000, 0.000, 0.000).

---

Entry 6:
This record from the Alexandria database describes a relaxed NaFeCl3 crystal. The functional is PBE-GGA.

The uncorrected formation energy comes out at -0.56 eV per formula unit.

The space group is Pm-3m (No. 221) and the conventional cell measures 4.980, 4.980 and 4.980 Å, with angles of 90.00, 90.00 and 90.00 degrees. Symmetry generates all atoms from Na at (0.000, 0.000, 0.000), Fe at (0.500, 0.500, 0.500) and Cl at (0.000, 0.000, 0.500).

---

Entry 7:
This record from the Alexandria database describes a relaxed TmCd2Pd crystal. The functional is PBE-GGA.

The space group is P4/mmm (No. 123) and the conventional cell measures 4.155, 4.155 and 4.932 Å, with angles of 90.00, 90.00 and 90.00 degrees. Symmetry generates all atoms from Tm at (0.000, 0.000, 0.000), Cd at (0.000, 0.500, 0.500) and Pd at (0.500, 0.500, 0.000).

---

Entry 8:
This record from the Alexandria database describes a relaxed NiAgP2 crystal. The functional is PBE-GGA.

Its energy above the lowest structure with this stoichiometry is 1.06 eV/f.u.

The space group is Immm (No. 71) and the conventional cell measures 3.787, 4.653 and 8.573 Å, with angles of 90.00, 90.00 and 90.00 degrees. Symmetry generates all atoms from Ni at (0.000, 0.000, 0.000), Ag at (0.000, 0.000, 0.500) and P at (0.000, 0.500, 0.365).

---

Entry 9:
This record from the Alexandria database describes a relaxed PmTm3Ga3 crystal. The functional is PBE-GGA.

The space group is P6_3/m (No. 176) and the conventional cell measures 9.1157, 9.1157 and 4.7599 Å, with angles of 90.00, 90.00 and 120.00 degrees. Symmetry generates all atoms from Pm at (0.3333, 0.6667, 0.2500), Tm at (0.0164, 0.2532, 0.7500) and Ga at (0.0591, 0.6098, 0.7500).

---

Entry 10:
This record from the Alexandria database describes a relaxed SnGe2Rh2 crystal. The functional is PBE-GGA.

Its energy above the lowest structure with this stoichiometry is 0.00 eV/f.u.

The space group is I4/mmm (No. 139) and the conventional cell measures 3.801, 3.801 and 12.311 Å, with angles of 90.00, 90.00 and 90.00 degrees. Symmetry generates all atoms from Sn at (0.000, 0.000, 0.000), Ge at (0.000, 0.500, 0.250) and Rh at (0.000, 0.000, 0.381).

---

Entry 11:
This record from the Alexandria database describes a relaxed ErAlTl2 crystal. The functional is PBE-GGA.

Its energy above the lowest structure with this stoichiometry is 1.24 eV/f.u.

The space group is R-3m (No. 166, hexagonal axes) and the conventional cell measures 3.4401, 3.4401 and 32.2781 Å, with angles of 90.00, 90.00 and 120.00 degrees. Symmetry generates all atoms from Er at (0.0000, 0.0000, 0.0000), Al at (0.0000, 0.0000, 0.5000) and Tl at (0.0000, 0.0000, 0.4151).

---

Entry 12:
This record from the Alexandria database describes a relaxed ScBeAu4 crystal. The functional is PBE-GGA.

The space group is F-43m (No. 216) and the conventional cell measures 7.698, 7.698 and 7.698 Å, with angles of 90.00, 90.00 and 90.00 degrees. Symmetry generates all atoms from Sc at (0.000, 0.000, 0.000), Be at (0.250, 0.250, 0.250) and Au at (0.125, 0.125, 0.625).

---

| no. | total moment (μB per cell) | D(E_F) (states/eV per cell) | raw total energy (eV per atom) |
| --- | --- | --- | --- |
| 1 | 0.000 | 9.6 | -3.843 |
| 2 | 0.000 | 2.0 | -5.474 |
| 3 | 0.000 | 6.3 | -3.472 |
| 4 | 4.900 | 6.4 | -2.895 |
| 5 | 0.000 | 7.9 | -1.892 |
| 6 | 4.000 | 15.9 | -3.177 |
| 7 | 0.000 | 2.9 | -3.274 |
| 8 | 0.000 | 4.4 | -4.675 |
| 9 | 0.000 | 9.7 | -4.332 |
| 10 | 0.000 | 5.3 | -5.856 |
| 11 | 0.000 | 9.0 | -3.120 |
| 12 | 0.000 | 20.6 | -3.845 |